Density functional theory data (PBE with a Hubbard U) for Li2Fe3WO8 after structural relaxation.

Cell and atoms, written as POSCAR:
```
Li2Fe3WO8
1.0
3.0169 -5.2297 0.0000
3.0169 5.2297 0.0000
0.0000 0.0000 9.7935
Li Fe W O
4 6 2 16
direct
0.0027 0.9973 0.5000
0.3298 0.6702 0.5767
0.6702 0.3298 0.0767
0.9973 0.0027 0.0000
0.1674 0.8326 0.2731
0.1721 0.3448 0.2715
0.3448 0.1721 0.7715
0.6552 0.8279 0.2715
0.8279 0.6552 0.7715
0.8326 0.1674 0.7731
0.3366 0.6634 0.9993
0.6634 0.3366 0.4993
0.0052 0.9948 0.6881
0.0450 0.5059 0.1292
0.1786 0.8214 0.8959
0.1933 0.3437 0.9010
0.3339 0.6661 0.3757
0.3437 0.1933 0.4010
0.4831 0.5169 0.1421
0.4941 0.9550 0.1292
0.5059 0.0450 0.6292
0.5169 0.4831 0.6421
0.6563 0.8067 0.9010
0.6661 0.3339 0.8757
0.8067 0.6563 0.4010
0.8214 0.1786 0.3959
0.9550 0.4941 0.6292
0.9948 0.0052 0.1881
```

## Properties
calculated density = 5.30 g/cm³
offset from the most stable computed form = 0.0000 eV/atom
space group = Cmc2_1 (36)